(1)
Material: NaSr2La3Se6
Method: DFT, PBE
State: optimized geometry

CIF file:
```
data_NaSr2La3Se6
_cell_length_a 7.513
_cell_length_b 13.008
_cell_length_c 7.617
_cell_angle_alpha 90.00
_cell_angle_beta 109.18
_cell_angle_gamma 90.00
_symmetry_space_group_name_H-M 'C 1 2/m 1'
_symmetry_Int_Tables_number 12
loop_
_symmetry_equiv_pos_as_xyz
'x,y,z'
'-x,-y,-z'
'-x,y,-z'
'x,-y,z'
'x+1/2,y+1/2,z'
'-x+1/2,-y+1/2,-z'
'-x+1/2,y+1/2,-z'
'x+1/2,-y+1/2,z'
loop_
_atom_site_label
_atom_site_fract_x
_atom_site_fract_y
_atom_site_fract_z
Na1 0.000 0.000 0.000
Sr1 0.000 0.333 0.000
La1 0.000 0.166 0.500
La2 0.000 0.500 0.500
Se1 0.246 0.000 0.745
Se2 0.249 0.334 0.744
```

Output
raw formation energy	-1.914	eV/atom

***

(2)
Material: Nd6Sm3Dy2Tl
Method: DFT, PBE
State: optimized geometry

CIF file:
```
data_Nd6Sm3Dy2Tl
_cell_length_a 6.252
_cell_length_b 10.879
_cell_length_c 11.891
_cell_angle_alpha 90.00
_cell_angle_beta 100.38
_cell_angle_gamma 90.00
_symmetry_space_group_name_H-M 'C 1 2/m 1'
_symmetry_Int_Tables_number 12
loop_
_symmetry_equiv_pos_as_xyz
'x,y,z'
'-x,-y,-z'
'-x,y,-z'
'x,-y,z'
'x+1/2,y+1/2,z'
'-x+1/2,-y+1/2,-z'
'-x+1/2,y+1/2,-z'
'x+1/2,-y+1/2,z'
loop_
_atom_site_label
_atom_site_fract_x
_atom_site_fract_y
_atom_site_fract_z
Nd1 0.244 0.164 0.245
Nd2 0.246 0.000 0.753
Sm1 0.000 0.169 0.500
Sm2 0.000 0.500 0.500
Dy1 0.000 0.334 0.000
Tl1 0.000 0.000 0.000
```

Output
calculated formation energy	-0.24	kcal/mol of atoms

***

(3)
Material: YTm2Zr
Method: DFT, PBE
State: optimized geometry

CIF file:
```
data_YTm2Zr
_cell_length_a 4.834
_cell_length_b 4.834
_cell_length_c 4.833
_cell_angle_alpha 90.00
_cell_angle_beta 90.00
_cell_angle_gamma 90.00
_symmetry_space_group_name_H-M 'P 4/m m m'
_symmetry_Int_Tables_number 123
_symmetry_space_group_name_Hall '-P 4 2'
loop_
_atom_site_label
_atom_site_fract_x
_atom_site_fract_y
_atom_site_fract_z
Y1 0.000 0.000 0.000
Tm1 0.000 0.500 0.500
Zr1 0.500 0.500 0.000
```

Output
ΔE to the lowest computed polymorph	0.036	eV/atom
calculated formation energy	2.03	kcal/mol of atoms

***

(4)
Material: CeSm2Dy3S6
Method: DFT, PBE
State: optimized geometry

CIF file:
```
data_CeSm2Dy3S6
_cell_length_a 17.289
_cell_length_b 3.939
_cell_length_c 7.971
_cell_angle_alpha 90.00
_cell_angle_beta 103.76
_cell_angle_gamma 90.00
_symmetry_space_group_name_H-M 'C 1 2/m 1'
_symmetry_Int_Tables_number 12
loop_
_symmetry_equiv_pos_as_xyz
'x,y,z'
'-x,-y,-z'
'-x,y,-z'
'x,-y,z'
'x+1/2,y+1/2,z'
'-x+1/2,-y+1/2,-z'
'-x+1/2,y+1/2,-z'
'x+1/2,-y+1/2,z'
loop_
_atom_site_label
_atom_site_fract_x
_atom_site_fract_y
_atom_site_fract_z
Ce1 0.000 0.000 0.000
Sm1 0.166 0.500 0.331
Dy1 0.000 0.000 0.500
Dy2 0.166 0.500 0.835
S1 0.002 0.500 0.743
S2 0.165 0.000 0.589
S3 0.170 0.000 0.078
```

Output
raw formation energy	-2.017	eV/atom

***

(5)
Material: Nb2FeAgH
Method: DFT, PBE
State: optimized geometry

CIF file:
```
data_Nb2FeAgH
_cell_length_a 4.110
_cell_length_b 4.110
_cell_length_c 3.987
_cell_angle_alpha 90.00
_cell_angle_beta 90.00
_cell_angle_gamma 90.00
_symmetry_space_group_name_H-M 'P 4/m m m'
_symmetry_Int_Tables_number 123
_symmetry_space_group_name_Hall '-P 4 2'
loop_
_atom_site_label
_atom_site_fract_x
_atom_site_fract_y
_atom_site_fract_z
Nb1 0.000 0.500 0.000
Fe1 0.000 0.000 0.500
Ag1 0.500 0.500 0.500
H1 0.000 0.000 0.000
```

Output
E	-6.838	eV/atom

***

(6)
Material: MoPtPb
Method: DFT, PBE
State: optimized geometry

CIF file:
```
data_MoPtPb
_cell_length_a 6.372
_cell_length_b 6.372
_cell_length_c 6.372
_cell_angle_alpha 90.00
_cell_angle_beta 90.00
_cell_angle_gamma 90.00
_symmetry_space_group_name_H-M 'F -4 3 m'
_symmetry_Int_Tables_number 216
_symmetry_space_group_name_Hall 'F -4 2 3'
loop_
_atom_site_label
_atom_site_fract_x
_atom_site_fract_y
_atom_site_fract_z
Mo1 0.000 0.000 0.000
Pt1 0.250 0.250 0.250
Pb1 0.000 0.000 0.500
```

Output
ΔE to the lowest computed polymorph	0.181	eV/atom
calculated formation energy	9.73	kcal/mol of atoms

***

(7)
Material: Ba8LiCa2
Method: DFT, PBE
State: optimized geometry

CIF file:
```
data_Ba8LiCa2
_cell_length_a 22.543
_cell_length_b 6.806
_cell_length_c 7.906
_cell_angle_alpha 90.00
_cell_angle_beta 90.15
_cell_angle_gamma 90.00
_symmetry_space_group_name_H-M 'C 1 2/m 1'
_symmetry_Int_Tables_number 12
loop_
_symmetry_equiv_pos_as_xyz
'x,y,z'
'-x,-y,-z'
'-x,y,-z'
'x,-y,z'
'x+1/2,y+1/2,z'
'-x+1/2,-y+1/2,-z'
'-x+1/2,y+1/2,-z'
'x+1/2,-y+1/2,z'
loop_
_atom_site_label
_atom_site_fract_x
_atom_site_fract_y
_atom_site_fract_z
Ba1 0.045 0.000 0.247
Ba2 0.087 0.500 0.917
Ba3 0.148 0.000 0.698
Ba4 0.172 0.500 0.396
Li1 0.000 0.500 0.500
Ca1 0.233 0.000 0.141
```

Output
calculated formation energy	1.18	kcal/mol of atoms

***

(8)
Material: KZnP2
Method: DFT, PBE
State: optimized geometry

CIF file:
```
data_KZnP2
_cell_length_a 5.010
_cell_length_b 5.010
_cell_length_c 16.137
_cell_angle_alpha 90.00
_cell_angle_beta 90.00
_cell_angle_gamma 90.00
_symmetry_space_group_name_H-M 'I 41/a m d'
_symmetry_Int_Tables_number 141
loop_
_symmetry_equiv_pos_as_xyz
'x,y,z'
'-x,-y,-z'
'-y+1/4,x+3/4,z+1/4'
'y+1/4,-x+3/4,-z+1/4'
'-x+1/2,-y,z+1/2'
'x+1/2,y,-z+1/2'
'y+1/4,-x+1/4,z+3/4'
'-y+1/4,x+1/4,-z+3/4'
'x,-y,-z'
'-x,y,z'
'-y+1/4,-x+1/4,-z+3/4'
'y+1/4,x+1/4,z+3/4'
'-x+1/2,y,-z+1/2'
'x+1/2,-y,z+1/2'
'y+1/4,x+3/4,-z+1/4'
'-y+1/4,-x+3/4,z+1/4'
'x+1/2,y+1/2,z+1/2'
'-x+1/2,-y+1/2,-z+1/2'
'-y+3/4,x+1/4,z+3/4'
'y+3/4,-x+1/4,-z+3/4'
'-x,-y+1/2,z'
'x,y+1/2,-z'
'y+3/4,-x+3/4,z+1/4'
'-y+3/4,x+3/4,-z+1/4'
'x+1/2,-y+1/2,-z+1/2'
'-x+1/2,y+1/2,z+1/2'
'-y+3/4,-x+3/4,-z+1/4'
'y+3/4,x+3/4,z+1/4'
'-x,y+1/2,-z'
'x,-y+1/2,z'
'y+3/4,x+1/4,-z+3/4'
'-y+3/4,-x+1/4,z+3/4'
loop_
_atom_site_label
_atom_site_fract_x
_atom_site_fract_y
_atom_site_fract_z
K1 0.000 0.250 0.375
Zn1 0.000 0.250 0.875
P1 0.000 0.000 0.000
```

Output
calculated formation energy	-1.46	kcal/mol of atoms

***

(9)
Material: BeTeI2
Method: DFT, PBE
State: optimized geometry

CIF file:
```
data_BeTeI2
_cell_length_a 7.649
_cell_length_b 7.649
_cell_length_c 7.649
_cell_angle_alpha 90.00
_cell_angle_beta 90.00
_cell_angle_gamma 90.00
_symmetry_space_group_name_H-M 'F m -3 m'
_symmetry_Int_Tables_number 225
_symmetry_space_group_name_Hall '-F 4 2 3'
loop_
_atom_site_label
_atom_site_fract_x
_atom_site_fract_y
_atom_site_fract_z
Be1 0.000 0.000 0.000
Te1 0.000 0.000 0.500
I1 0.250 0.250 0.250
```

Output
ΔE to the lowest computed polymorph	0.669	eV/atom
raw formation energy	0.891	eV/atom

***

(10)
Material: ZnCuCl2
Method: DFT, PBE
State: optimized geometry

CIF file:
```
data_ZnCuCl2
_cell_length_a 3.531
_cell_length_b 7.126
_cell_length_c 7.331
_cell_angle_alpha 90.00
_cell_angle_beta 90.00
_cell_angle_gamma 90.00
_symmetry_space_group_name_H-M 'I m m m'
_symmetry_Int_Tables_number 71
_symmetry_space_group_name_Hall '-I 2 2'
loop_
_atom_site_label
_atom_site_fract_x
_atom_site_fract_y
_atom_site_fract_z
Zn1 0.000 0.000 0.000
Cu1 0.000 0.000 0.500
Cl1 0.000 0.500 0.219
```

Output
ΔE to the lowest computed polymorph	0.223	eV/atom
raw formation energy	-0.215	eV/atom

***

(11)
Material: TlFeIr2
Method: DFT, PBE
State: optimized geometry

CIF file:
```
data_TlFeIr2
_cell_length_a 2.859
_cell_length_b 2.859
_cell_length_c 7.840
_cell_angle_alpha 90.00
_cell_angle_beta 90.00
_cell_angle_gamma 90.00
_symmetry_space_group_name_H-M 'P 4 m m'
_symmetry_Int_Tables_number 99
loop_
_symmetry_equiv_pos_as_xyz
'x,y,z'
'-y,x,z'
'-x,-y,z'
'y,-x,z'
'-x,y,z'
'y,x,z'
'x,-y,z'
'-y,-x,z'
loop_
_atom_site_label
_atom_site_fract_x
_atom_site_fract_y
_atom_site_fract_z
Tl1 0.000 0.000 0.000
Fe1 0.500 0.500 0.273
Ir1 0.000 0.000 0.482
Ir2 0.500 0.500 0.716
```

Output
ΔE to the lowest computed polymorph	0.107	eV/atom
calculated formation energy	9.47	kcal/mol of atoms

***

(12)
Material: LaTcTeRu2
Method: DFT, PBE
State: optimized geometry

CIF file:
```
data_LaTcTeRu2
_cell_length_a 4.690
_cell_length_b 4.690
_cell_length_c 5.932
_cell_angle_alpha 90.00
_cell_angle_beta 90.00
_cell_angle_gamma 90.00
_symmetry_space_group_name_H-M 'P 4/m m m'
_symmetry_Int_Tables_number 123
_symmetry_space_group_name_Hall '-P 4 2'
loop_
_atom_site_label
_atom_site_fract_x
_atom_site_fract_y
_atom_site_fract_z
La1 0.000 0.000 0.000
Tc1 0.500 0.500 0.500
Te1 0.000 0.000 0.500
Ru1 0.000 0.500 0.000
```

Output
raw formation energy	2.061	eV/atom

***

(13)
Material: Sm3AlTe2
Method: DFT, PBE
State: optimized geometry

CIF file:
```
data_Sm3AlTe2
_cell_length_a 4.271
_cell_length_b 6.247
_cell_length_c 13.683
_cell_angle_alpha 90.00
_cell_angle_beta 90.00
_cell_angle_gamma 90.00
_symmetry_space_group_name_H-M 'I m m m'
_symmetry_Int_Tables_number 71
_symmetry_space_group_name_Hall '-I 2 2'
loop_
_atom_site_label
_atom_site_fract_x
_atom_site_fract_y
_atom_site_fract_z
Sm1 0.000 0.000 0.000
Sm2 0.000 0.000 0.340
Al1 0.000 0.500 0.000
Te1 0.000 0.500 0.330
```

Output
raw formation energy	-1.038	eV/atom

***

(14)
Material: MnInCu2H
Method: DFT, PBE
State: optimized geometry

CIF file:
```
data_MnInCu2H
_cell_length_a 4.005
_cell_length_b 4.005
_cell_length_c 3.784
_cell_angle_alpha 90.00
_cell_angle_beta 90.00
_cell_angle_gamma 90.00
_symmetry_space_group_name_H-M 'P 4/m m m'
_symmetry_Int_Tables_number 123
_symmetry_space_group_name_Hall '-P 4 2'
loop_
_atom_site_label
_atom_site_fract_x
_atom_site_fract_y
_atom_site_fract_z
Mn1 0.000 0.000 0.000
In1 0.500 0.500 0.000
Cu1 0.000 0.500 0.500
H1 0.000 0.000 0.500
```

Output
E	-4.572	eV/atom

***

(15)
Material: Li2Pu3P3
Method: DFT, PBE
State: optimized geometry

CIF file:
```
data_Li2Pu3P3
_cell_length_a 8.2264
_cell_length_b 8.2264
_cell_length_c 5.6880
_cell_angle_alpha 90.00
_cell_angle_beta 90.00
_cell_angle_gamma 120.00
_symmetry_space_group_name_H-M 'P 63/m c m'
_symmetry_Int_Tables_number 193
_symmetry_space_group_name_Hall '-P 6c 2'
loop_
_atom_site_label
_atom_site_fract_x
_atom_site_fract_y
_atom_site_fract_z
Li1 0.3333 0.6667 0.0000
Pu1 0.0000 0.2973 0.2500
P1 0.0000 0.3658 0.7500
```

Output
calculated formation energy	-18.52	kcal/mol of atoms

***

(16)
Material: VCr4Mo3
Method: DFT, PBE
State: optimized geometry

CIF file:
```
data_VCr4Mo3
_cell_length_a 2.998
_cell_length_b 4.244
_cell_length_c 8.460
_cell_angle_alpha 90.00
_cell_angle_beta 90.00
_cell_angle_gamma 90.00
_symmetry_space_group_name_H-M 'P m m m'
_symmetry_Int_Tables_number 47
loop_
_symmetry_equiv_pos_as_xyz
'x,y,z'
'-x,-y,-z'
'-x,-y,z'
'x,y,-z'
'x,-y,-z'
'-x,y,z'
'-x,y,-z'
'x,-y,z'
loop_
_atom_site_label
_atom_site_fract_x
_atom_site_fract_y
_atom_site_fract_z
V1 0.000 0.000 0.000
Cr1 0.500 0.000 0.246
Cr2 0.500 0.500 0.000
Cr3 0.500 0.500 0.500
Mo1 0.000 0.000 0.500
Mo2 0.000 0.500 0.246
```

Output
calculated formation energy	-0.15	kcal/mol of atoms

***

(17)
Material: MnFeAu2
Method: DFT, PBE
State: optimized geometry

CIF file:
```
data_MnFeAu2
_cell_length_a 5.648
_cell_length_b 7.694
_cell_length_c 2.915
_cell_angle_alpha 90.00
_cell_angle_beta 90.00
_cell_angle_gamma 90.00
_symmetry_space_group_name_H-M 'C m m m'
_symmetry_Int_Tables_number 65
_symmetry_space_group_name_Hall '-C 2 2'
loop_
_atom_site_label
_atom_site_fract_x
_atom_site_fract_y
_atom_site_fract_z
Mn1 0.000 0.000 0.000
Fe1 0.000 0.500 0.000
Au1 0.250 0.250 0.500
```

Output
calculated formation energy	2.53	kcal/mol of atoms

***

(18)
Material: RbGeTeI2
Method: DFT, PBE
State: optimized geometry

CIF file:
```
data_RbGeTeI2
_cell_length_a 6.634
_cell_length_b 6.634
_cell_length_c 6.618
_cell_angle_alpha 90.00
_cell_angle_beta 90.00
_cell_angle_gamma 90.00
_symmetry_space_group_name_H-M 'P 4/m m m'
_symmetry_Int_Tables_number 123
_symmetry_space_group_name_Hall '-P 4 2'
loop_
_atom_site_label
_atom_site_fract_x
_atom_site_fract_y
_atom_site_fract_z
Rb1 0.000 0.000 0.000
Ge1 0.500 0.500 0.500
Te1 0.000 0.000 0.500
I1 0.000 0.500 0.000
```

Output
ΔE to the lowest computed polymorph	1.085	eV/atom
raw formation energy	0.580	eV/atom

***

(19)
Material: LuMgInRu
Method: DFT, PBE
State: optimized geometry

CIF file:
```
data_LuMgInRu
_cell_length_a 6.787
_cell_length_b 6.787
_cell_length_c 6.787
_cell_angle_alpha 90.00
_cell_angle_beta 90.00
_cell_angle_gamma 90.00
_symmetry_space_group_name_H-M 'F -4 3 m'
_symmetry_Int_Tables_number 216
_symmetry_space_group_name_Hall 'F -4 2 3'
loop_
_atom_site_label
_atom_site_fract_x
_atom_site_fract_y
_atom_site_fract_z
Lu1 0.000 0.000 0.000
Mg1 0.250 0.250 0.250
In1 0.000 0.000 0.500
Ru1 0.250 0.250 0.750
```

Output
calculated formation energy	-3.69	kcal/mol of atoms

***

(20)
Material: AgP3
Method: DFT, PBE
State: optimized geometry

CIF file:
```
data_AgP3
_cell_length_a 3.588
_cell_length_b 3.588
_cell_length_c 10.549
_cell_angle_alpha 90.00
_cell_angle_beta 90.00
_cell_angle_gamma 90.00
_symmetry_space_group_name_H-M 'I 4/m m m'
_symmetry_Int_Tables_number 139
_symmetry_space_group_name_Hall '-I 4 2'
loop_
_atom_site_label
_atom_site_fract_x
_atom_site_fract_y
_atom_site_fract_z
Ag1 0.000 0.000 0.000
P1 0.000 0.000 0.500
P2 0.000 0.500 0.250
```

Output
ΔE to the lowest computed polymorph	0.537	eV/atom
calculated formation energy	16.61	kcal/mol of atoms

***

(21)
Material: CsTl8In4
Method: DFT, PBE
State: optimized geometry

CIF file:
```
data_CsTl8In4
_cell_length_a 11.437
_cell_length_b 11.437
_cell_length_c 6.352
_cell_angle_alpha 90.00
_cell_angle_beta 90.00
_cell_angle_gamma 90.00
_symmetry_space_group_name_H-M 'I 4/m m m'
_symmetry_Int_Tables_number 139
_symmetry_space_group_name_Hall '-I 4 2'
loop_
_atom_site_label
_atom_site_fract_x
_atom_site_fract_y
_atom_site_fract_z
Cs1 0.000 0.000 0.000
Tl1 0.000 0.216 0.500
Tl2 0.000 0.356 0.000
In1 0.250 0.250 0.250
```

Output
calculated formation energy	-0.58	kcal/mol of atoms

***

(22)
Material: PuNbP
Method: DFT, PBE
State: optimized geometry

CIF file:
```
data_PuNbP
_cell_length_a 4.2958
_cell_length_b 4.2958
_cell_length_c 3.7803
_cell_angle_alpha 90.00
_cell_angle_beta 90.00
_cell_angle_gamma 120.00
_symmetry_space_group_name_H-M 'P -6 m 2'
_symmetry_Int_Tables_number 187
_symmetry_space_group_name_Hall 'P -6 2'
loop_
_atom_site_label
_atom_site_fract_x
_atom_site_fract_y
_atom_site_fract_z
Pu1 0.0000 0.0000 0.0000
Nb1 0.6667 0.3333 0.5000
P1 0.3333 0.6667 0.5000
```

Output
calculated formation energy	-8.92	kcal/mol of atoms

***

(23)
Material: K2InPdS
Method: DFT, PBE
State: optimized geometry

CIF file:
```
data_K2InPdS
_cell_length_a 6.190
_cell_length_b 6.190
_cell_length_c 4.499
_cell_angle_alpha 90.00
_cell_angle_beta 90.00
_cell_angle_gamma 90.00
_symmetry_space_group_name_H-M 'P 4/m m m'
_symmetry_Int_Tables_number 123
_symmetry_space_group_name_Hall '-P 4 2'
loop_
_atom_site_label
_atom_site_fract_x
_atom_site_fract_y
_atom_site_fract_z
K1 0.000 0.500 0.000
In1 0.000 0.000 0.500
Pd1 0.500 0.500 0.000
S1 0.500 0.500 0.500
```

Output
raw formation energy	-0.183	eV/atom

***

(24)
Material: KInGe
Method: DFT, PBE
State: optimized geometry

CIF file:
```
data_KInGe
_cell_length_a 15.734
_cell_length_b 3.889
_cell_length_c 6.906
_cell_angle_alpha 90.00
_cell_angle_beta 112.96
_cell_angle_gamma 90.00
_symmetry_space_group_name_H-M 'C 1 2/m 1'
_symmetry_Int_Tables_number 12
loop_
_symmetry_equiv_pos_as_xyz
'x,y,z'
'-x,-y,-z'
'-x,y,-z'
'x,-y,z'
'x+1/2,y+1/2,z'
'-x+1/2,-y+1/2,-z'
'-x+1/2,y+1/2,-z'
'x+1/2,-y+1/2,z'
loop_
_atom_site_label
_atom_site_fract_x
_atom_site_fract_y
_atom_site_fract_z
K1 0.124 0.000 0.455
In1 0.082 0.500 0.887
Ge1 0.238 0.000 0.117
```

Output
calculated formation energy	-1.12	kcal/mol of atoms